Record 1
Computed, not measured: a relaxed structure of BaLi2Tc at the PBE-GGA level of DFT.

Values from the calculation:
The calculation puts the total energy at -13.4 eV per formula unit. For the formation energy from the elements, the calculation gives 674 meV per atom. For the energy relative to the lowest polymorph listed for this composition, the calculation gives 3.4 kJ/mol of atoms.

Geometry as extended XYZ:
```
4
Lattice="6.316 0.005 -0.009 3.450 5.291 0.009 -4.299 -3.725 2.745" Properties=species:S:1:pos:R:3 pbc="T T T"
Tc 3.450 -0.536 1.368
Ba 2.017 2.107 1.377
Li 9.360 5.075 0.000
Li 5.290 2.868 0.000
```

---

Record 2
Computed, not measured: a relaxed structure of BaLiTc at the PBE-GGA level of DFT.

Values from the calculation:
The calculation puts the total energy at -9.9 eV per formula unit. For the formation energy from the elements, the calculation gives 1442 meV per atom. For the energy relative to the lowest polymorph listed for this composition, the calculation gives 56.2 kJ/mol of atoms.

Geometry as extended XYZ:
```
3
Lattice="5.062 0.000 0.000 2.531 4.384 0.000 2.531 1.461 4.133" Properties=species:S:1:pos:R:3 pbc="T T T"
Li 0.000 0.000 0.000
Ba 7.593 4.384 3.100
Tc 5.062 2.923 2.067
```

---

Record 3
Computed, not measured: a relaxed structure of BaLi2Tc at the PBE-GGA level of DFT.

Values from the calculation:
The calculation puts the total energy at -12.9 eV per formula unit. For the formation energy from the elements, the calculation gives 793 meV per atom. For the energy relative to the lowest polymorph listed for this composition, the calculation gives 14.9 kJ/mol of atoms.

Geometry as extended XYZ:
```
4
Lattice="5.029 0.000 0.000 2.514 4.355 0.000 2.514 1.452 4.106" Properties=species:S:1:pos:R:3 pbc="T T T"
Tc 7.543 4.355 3.080
Ba 5.029 2.903 2.053
Li 2.514 1.452 1.027
Li 0.000 0.000 0.000
```

---

Record 4
Computed, not measured: a relaxed structure of BaLi2Tc at the PBE-GGA level of DFT.

Values from the calculation:
The calculation puts the total energy at -13.2 eV per formula unit. For the formation energy from the elements, the calculation gives 732 meV per atom. For the energy relative to the lowest polymorph listed for this composition, the calculation gives 9.0 kJ/mol of atoms.

Geometry as extended XYZ:
```
4
Lattice="-4.161 0.689 -3.592 0.725 -3.534 -4.205 -0.018 -0.815 5.480" Properties=species:S:1:pos:R:3 pbc="T T T"
Tc -0.505 -2.886 -1.312
Li 0.000 0.000 0.000
Li -1.718 -1.423 -3.898
Ba -2.948 -0.775 -1.005
```

---

Record 5
Computed, not measured: a relaxed structure of BaLi2Tc at the PBE-GGA level of DFT.

Values from the calculation:
The calculation puts the total energy at -13.5 eV per formula unit. For the formation energy from the elements, the calculation gives 653 meV per atom. For the energy relative to the lowest polymorph listed for this composition, the calculation gives 1.4 kJ/mol of atoms.

Geometry as extended XYZ:
```
4
Lattice="-1.647 -4.977 -2.036 -0.070 -5.548 0.917 -4.788 -0.964 2.371" Properties=species:S:1:pos:R:3 pbc="T T T"
Li -4.437 -1.249 2.128
Li -3.604 -5.461 0.869
Ba -1.626 -2.872 0.313
Tc -4.879 -8.617 0.939
```

---

Record 6
Computed, not measured: a relaxed structure of BaLi2Tc at the PBE-GGA level of DFT.

Values from the calculation:
The calculation puts the total energy at -13.3 eV per formula unit. For the formation energy from the elements, the calculation gives 706 meV per atom. For the energy relative to the lowest polymorph listed for this composition, the calculation gives 6.5 kJ/mol of atoms.

Geometry as extended XYZ:
```
4
Lattice="-3.026 -0.326 0.291 0.523 -1.119 4.186 -0.503 6.214 1.723" Properties=species:S:1:pos:R:3 pbc="T T T"
Li -0.215 2.653 0.736
Li -0.037 0.454 0.126
Tc -1.377 0.831 2.669
Ba -1.629 3.938 3.531
```

---

Record 7
Computed, not measured: a relaxed structure of BaLi2Tc at the PBE-GGA level of DFT.

Values from the calculation:
The calculation puts the total energy at -13.4 eV per formula unit. For the formation energy from the elements, the calculation gives 670 meV per atom. For the energy relative to the lowest polymorph listed for this composition, the calculation gives 3.0 kJ/mol of atoms.

Geometry as extended XYZ:
```
4
Lattice="4.967 0.000 0.000 0.000 2.947 0.001 0.000 0.592 5.988" Properties=species:S:1:pos:R:3 pbc="T T T"
Li 0.000 1.747 2.528
Li 0.000 2.969 0.468
Tc 2.483 0.885 1.497
Ba 2.483 2.654 4.492
```

---

Record 8
Computed, not measured: a relaxed structure of BaLi2Tc at the PBE-GGA level of DFT.

Values from the calculation:
The calculation puts the total energy at -12.7 eV per formula unit. For the formation energy from the elements, the calculation gives 864 meV per atom. For the energy relative to the lowest polymorph listed for this composition, the calculation gives 21.8 kJ/mol of atoms.

Geometry as extended XYZ:
```
4
Lattice="10.835 0.004 0.003 10.401 3.037 0.003 10.401 1.490 2.647" Properties=species:S:1:pos:R:3 pbc="T T T"
Tc 7.909 1.133 0.663
Ba 23.728 3.398 1.989
Li 31.078 4.451 2.605
Li 16.377 2.346 1.373
```

---

Record 9
Computed, not measured: a relaxed structure of BaLi3Tc at the PBE-GGA level of DFT.

Values from the calculation:
The calculation puts the total energy at -14.4 eV per formula unit. For the formation energy from the elements, the calculation gives 726 meV per atom. For the energy relative to the lowest polymorph listed for this composition, the calculation gives 0.0 kJ/mol of atoms.

Geometry as extended XYZ:
```
5
Lattice="5.122 0.000 0.000 0.000 5.122 0.000 0.000 0.000 5.122" Properties=species:S:1:pos:R:3 pbc="T T T"
Li 0.000 2.561 0.000
Li 2.561 0.000 0.000
Li 0.000 0.000 2.561
Tc 0.000 0.000 0.000
Ba 2.561 2.561 2.561
```

---

Record 10
Computed, not measured: a relaxed structure of BaLi2Tc at the PBE-GGA level of DFT.

Values from the calculation:
The calculation puts the total energy at -13.0 eV per formula unit. For the formation energy from the elements, the calculation gives 778 meV per atom. For the energy relative to the lowest polymorph listed for this composition, the calculation gives 13.4 kJ/mol of atoms.

Geometry as extended XYZ:
```
4
Lattice="-3.786 1.663 3.531 -1.808 -0.719 -5.077 -0.656 -2.845 0.637" Properties=species:S:1:pos:R:3 pbc="T T T"
Li -2.797 0.472 -0.773
Li 0.000 0.000 0.000
Tc -2.221 -0.591 2.084
Ba -1.232 -1.782 -2.220
```

---

Record 11
Computed, not measured: a relaxed structure of BaLi3Tc at the PBE-GGA level of DFT.

Values from the calculation:
The calculation puts the total energy at -9.4 eV per formula unit. For the formation energy from the elements, the calculation gives 1730 meV per atom. For the energy relative to the lowest polymorph listed for this composition, the calculation gives 96.8 kJ/mol of atoms.

Geometry as extended XYZ:
```
5
Lattice="4.790 0.000 0.000 0.000 4.790 0.000 0.000 0.000 4.790" Properties=species:S:1:pos:R:3 pbc="T T T"
Tc 2.395 2.395 2.395
Li 0.000 2.395 0.000
Li 0.000 0.000 2.395
Li 2.395 0.000 0.000
Ba 0.000 0.000 0.000
```

---

Record 12
Computed, not measured: a relaxed structure of BaLiTc at the PBE-GGA level of DFT.

Values from the calculation:
The calculation puts the total energy at -11.5 eV per formula unit. For the formation energy from the elements, the calculation gives 911 meV per atom. For the energy relative to the lowest polymorph listed for this composition, the calculation gives 5.0 kJ/mol of atoms.

Geometry as extended XYZ:
```
3
Lattice="5.164 0.000 0.000 -2.582 4.473 0.000 0.000 0.000 2.974" Properties=species:S:1:pos:R:3 pbc="T T T"
Ba 0.000 0.000 0.041
Li 2.582 1.491 1.279
Tc 0.000 2.982 1.653
```

---

Q: Which value of formation energy from the elements does entry 6 give?
A: 706 meV per atom

---

Copy entry 6 word for word.
Computed, not measured: a relaxed structure of BaLi2Tc at the PBE-GGA level of DFT.

Values from the calculation:
The calculation puts the total energy at -13.3 eV per formula unit. For the formation energy from the elements, the calculation gives 706 meV per atom. For the energy relative to the lowest polymorph listed for this composition, the calculation gives 6.5 kJ/mol of atoms.

Geometry as extended XYZ:
```
4
Lattice="-3.026 -0.326 0.291 0.523 -1.119 4.186 -0.503 6.214 1.723" Properties=species:S:1:pos:R:3 pbc="T T T"
Li -0.215 2.653 0.736
Li -0.037 0.454 0.126
Tc -1.377 0.831 2.669
Ba -1.629 3.938 3.531
```